# Pm2Dy4Y

Pm2Dy4Y after structural relaxation (PBE, the Alexandria database).

Summary:
* energy above the lowest structure with this stoichiometry: 20.0 meV per atom
* raw total energy: -4.842 eV/atom
* spin magnetization: 0.000 Bohr magnetons per cell
* energy of formation: 0.07 eV/atom

Lattice parameters (Å, degrees): 6.1041 8.4059 9.5558 88.36 78.71 72.54
Fractional coordinates of all 14 atoms:
Pm1 0.0000 0.0000 0.0000
Pm2 0.0014 0.1112 0.6433
Pm3 0.1535 0.6019 0.1387
Pm4 0.2614 0.1561 0.2725
Dy1 0.2701 0.2662 0.9114
Dy2 0.3589 0.7396 0.4194
Dy3 0.4625 0.3191 0.5531
Dy4 0.5469 0.8902 0.7131
Dy5 0.5946 0.7982 0.0658
Dy6 0.6688 0.4714 0.8439
Dy7 0.7164 0.3759 0.1968
Dy8 0.8018 0.9487 0.3600
Y1 0.1127 0.6649 0.7706
Y2 0.9038 0.5290 0.4913


# LaNbGe2

LaNbGe2 after structural relaxation (PBE, the Alexandria database).

Summary:
* energy above the lowest structure with this stoichiometry: 0.0 meV per atom
* raw total energy: -6.540 eV/atom
* spin magnetization: 0.000 Bohr magnetons per cell
* energy of formation: -0.48 eV/atom

Lattice parameters (Å, degrees): 7.1453 7.1453 7.1453 32.27 32.27 32.27
Fractional coordinates of all 4 atoms:
La1 0.0000 0.0000 0.0000
Nb1 0.5000 0.5000 0.5000
Ge1 0.2352 0.2352 0.2352
Ge2 0.7648 0.7648 0.7648


# YTiZn4

YTiZn4 after structural relaxation (PBE, the Alexandria database).

Summary:
* raw total energy: -3.468 eV/atom
* spin magnetization: 2.211 Bohr magnetons per cell
* energy of formation: -0.23 eV/atom

Lattice parameters (Å, degrees): 5.2802 5.2802 5.2802 60.00 60.00 60.00
Fractional coordinates of all 6 atoms:
Y1 0.0000 0.0000 0.0000
Ti1 0.2500 0.2500 0.2500
Zn1 0.1274 0.6242 0.6242
Zn2 0.6242 0.1274 0.6242
Zn3 0.6242 0.6242 0.1274
Zn4 0.6242 0.6242 0.6242


# HgRh2Se

HgRh2Se after structural relaxation (PBE, the Alexandria database).

Summary:
* formation energy from raw total energies: 277 meV per atom
* raw total energy: -4.346 eV/atom
* spin magnetization: 0.000 Bohr magnetons per cell

Lattice parameters (Å, degrees): 3.0066 3.0066 8.8179 90.00 90.00 120.05
Fractional coordinates of all 4 atoms:
Hg1 0.0000 0.0000 0.0000
Rh1 0.5000 0.5000 0.2705
Rh2 0.5000 0.5000 0.7295
Se1 0.0000 0.0000 0.5000


# LiHf3Tl

LiHf3Tl after structural relaxation (PBE, the Alexandria database).

Summary:
* energy above the lowest structure with this stoichiometry: 772.0 meV per atom
* raw total energy: -5.405 eV/atom
* spin magnetization: 0.970 Bohr magnetons per cell
* energy of formation: 1.42 eV/atom

Lattice parameters (Å, degrees): 5.3499 5.3499 5.3499 90.00 90.00 90.00
Fractional coordinates of all 5 atoms:
Li1 0.0000 0.0000 0.0000
Hf1 0.0000 0.5000 0.5000
Hf2 0.5000 0.0000 0.5000
Hf3 0.5000 0.5000 0.0000
Tl1 0.5000 0.5000 0.5000


# YSbTe2W

YSbTe2W after structural relaxation (PBE, the Alexandria database).

Summary:
* energy above the lowest structure with this stoichiometry: 1091.8 meV per atom
* formation energy from raw total energies: 1458 meV per atom
* raw total energy: -4.507 eV/atom
* spin magnetization: 0.325 Bohr magnetons per cell

Lattice parameters (Å, degrees): 5.6779 5.6779 5.7414 90.00 90.00 90.00
Fractional coordinates of all 5 atoms:
Y1 0.0000 0.0000 0.0000
Sb1 0.0000 0.0000 0.5000
Te1 0.0000 0.5000 0.0000
Te2 0.5000 0.0000 0.0000
W1 0.5000 0.5000 0.5000


# Li2La2Tl

Li2La2Tl after structural relaxation (PBE, the Alexandria database).

Summary:
* energy above the lowest structure with this stoichiometry: 106.6 meV per atom
* raw total energy: -3.243 eV/atom
* spin magnetization: 0.951 Bohr magnetons per cell
* energy of formation: -0.03 eV/atom

Lattice parameters (Å, degrees): 10.7169 10.7169 10.7169 159.95 159.95 28.50
Fractional coordinates of all 5 atoms:
Li1 0.2500 0.7500 0.5000
Li2 0.7500 0.2500 0.5000
La1 0.1035 0.1035 0.0000
La2 0.8965 0.8965 0.0000
Tl1 0.5000 0.5000 0.0000


# PuSc2Cd

PuSc2Cd after structural relaxation (PBE, the Alexandria database).

Summary:
* energy above the lowest structure with this stoichiometry: 71.8 meV per atom
* raw total energy: -6.972 eV/atom
* spin magnetization: 6.131 Bohr magnetons per cell
* energy of formation: 0.01 eV/atom

Lattice parameters (Å, degrees): 10.4372 10.4372 10.4372 18.29 18.29 18.29
Fractional coordinates of all 4 atoms:
Pu1 0.0000 0.0000 0.0000
Sc1 0.2465 0.2465 0.2465
Sc2 0.4204 0.4204 0.4204
Cd1 0.8336 0.8336 0.8336


# BaCe2SmSe4

BaCe2SmSe4 after structural relaxation (PBE, the Alexandria database).

Summary:
* formation energy from raw total energies: -1803 meV per atom
* raw total energy: -5.859 eV/atom
* spin magnetization: 2.368 Bohr magnetons per cell

Lattice parameters (Å, degrees): 7.4954 4.2801 7.5154 90.00 108.97 90.00
Fractional coordinates of all 8 atoms:
Ba1 0.0000 0.0000 0.0000
Ce1 0.0000 0.5000 0.5000
Ce2 0.5000 0.0000 0.5000
Sm1 0.5000 0.5000 0.0000
Se1 0.2615 0.0000 0.7450
Se2 0.2694 0.5000 0.2656
Se3 0.7306 0.5000 0.7344
Se4 0.7385 0.0000 0.2550


# TaPIr

TaPIr after structural relaxation (PBE, the Alexandria database).

Summary:
* raw total energy: -8.926 eV/atom
* spin magnetization: 0.000 Bohr magnetons per cell
* energy of formation: -0.22 eV/atom

Lattice parameters (Å, degrees): 4.6001 4.6001 4.6001 142.96 127.26 66.19
Fractional coordinates of all 3 atoms:
Ta1 0.0000 0.0000 0.0000
P1 0.6681 0.6681 0.0000
Ir1 0.3454 0.3454 0.0000


# TbSm2Y

TbSm2Y after structural relaxation (PBE, the Alexandria database).

Summary:
* energy above the lowest structure with this stoichiometry: 11.3 meV per atom
* raw total energy: -5.111 eV/atom
* spin magnetization: 0.001 Bohr magnetons per cell
* energy of formation: 0.02 eV/atom

Lattice parameters (Å, degrees): 6.8231 6.8231 6.8231 148.88 64.75 124.78
Fractional coordinates of all 4 atoms:
Tb1 0.0000 0.0000 0.0000
Sm1 0.4176 0.6681 0.7495
Sm2 0.9185 0.6681 0.2505
Y1 0.5006 0.0006 0.5000


# TlCr3Br

TlCr3Br after structural relaxation (PBE, the Alexandria database).

Summary:
* energy above the lowest structure with this stoichiometry: 201.8 meV per atom
* formation energy from raw total energies: 1296 meV per atom
* raw total energy: -5.286 eV/atom
* spin magnetization: 12.840 Bohr magnetons per cell

Lattice parameters (Å, degrees): 5.2681 5.2681 5.2681 90.00 90.00 90.00
Fractional coordinates of all 5 atoms:
Tl1 0.0000 0.0000 0.0000
Cr1 0.0000 0.0000 0.5000
Cr2 0.0000 0.5000 0.0000
Cr3 0.5000 0.0000 0.0000
Br1 0.5000 0.5000 0.5000


# SrBeFe2Br

SrBeFe2Br after structural relaxation (PBE, the Alexandria database).

Summary:
* formation energy from raw total energies: 1726 meV per atom
* raw total energy: -3.075 eV/atom
* spin magnetization: 7.001 Bohr magnetons per cell

Lattice parameters (Å, degrees): 5.9295 5.9295 5.7470 90.00 90.00 90.00
Fractional coordinates of all 5 atoms:
Sr1 0.0000 0.0000 0.0000
Be1 0.5000 0.5000 0.5000
Fe1 0.0000 0.5000 0.0000
Fe2 0.5000 0.0000 0.0000
Br1 0.0000 0.0000 0.5000


# KCdAs2Se

KCdAs2Se after structural relaxation (PBE, the Alexandria database).

Summary:
* energy above the lowest structure with this stoichiometry: 0.0 meV per atom
* formation energy from raw total energies: 264 meV per atom
* raw total energy: -2.695 eV/atom
* spin magnetization: 1.015 Bohr magnetons per cell

Lattice parameters (Å, degrees): 5.2469 5.2469 5.5427 90.00 90.00 90.00
Fractional coordinates of all 5 atoms:
K1 0.0000 0.0000 0.0000
Cd1 0.5000 0.5000 0.5000
As1 0.0000 0.5000 0.5000
As2 0.5000 0.0000 0.5000
Se1 0.5000 0.5000 0.0000


# In2Pd2Pt

In2Pd2Pt after structural relaxation (PBE, the Alexandria database).

Summary:
* energy above the lowest structure with this stoichiometry: 33.1 meV per atom
* raw total energy: -4.722 eV/atom
* spin magnetization: 0.000 Bohr magnetons per cell
* energy of formation: -0.34 eV/atom

Lattice parameters (Å, degrees): 7.6074 7.6074 3.0940 90.00 90.00 90.00
Fractional coordinates of all 10 atoms:
In1 0.1693 0.3307 0.0000
In2 0.3307 0.8307 0.0000
In3 0.6693 0.1693 0.0000
In4 0.8307 0.6693 0.0000
Pd1 0.1307 0.6307 0.5000
Pd2 0.3693 0.1307 0.5000
Pd3 0.6307 0.8693 0.5000
Pd4 0.8693 0.3693 0.5000
Pt1 0.0000 0.0000 0.5000
Pt2 0.5000 0.5000 0.5000


# BaInCu3Se4

BaInCu3Se4 after structural relaxation (PBE, the Alexandria database).

Summary:
* formation energy from raw total energies: -409 meV per atom
* raw total energy: -3.841 eV/atom
* spin magnetization: 0.000 Bohr magnetons per cell

Lattice parameters (Å, degrees): 6.3748 6.3748 6.3748 90.00 90.00 90.00
Fractional coordinates of all 9 atoms:
Ba1 0.0000 0.0000 0.0000
In1 0.5000 0.5000 0.5000
Cu1 0.0000 0.5000 0.5000
Cu2 0.5000 0.0000 0.5000
Cu3 0.5000 0.5000 0.0000
Se1 0.2719 0.2719 0.7281
Se2 0.2719 0.7281 0.2719
Se3 0.7281 0.2719 0.2719
Se4 0.7281 0.7281 0.7281


# AcDyIn2

AcDyIn2 after structural relaxation (PBE, the Alexandria database).

Summary:
* raw total energy: -3.804 eV/atom
* spin magnetization: 0.000 Bohr magnetons per cell
* energy of formation: -0.26 eV/atom

Lattice parameters (Å, degrees): 10.2999 10.2999 10.2999 21.69 21.69 21.69
Fractional coordinates of all 4 atoms:
Ac1 0.0000 0.0000 0.0000
Dy1 0.5000 0.5000 0.5000
In1 0.2438 0.2438 0.2438
In2 0.7562 0.7562 0.7562


# TaNiIr2

TaNiIr2 after structural relaxation (PBE, the Alexandria database).

Summary:
* raw total energy: -9.234 eV/atom
* spin magnetization: 0.369 Bohr magnetons per cell
* energy of formation: -0.40 eV/atom

Lattice parameters (Å, degrees): 2.9138 3.5835 5.5885 90.00 90.00 90.00
Fractional coordinates of all 4 atoms:
Ta1 0.0000 0.0000 0.0000
Ni1 0.0000 0.0000 0.5000
Ir1 0.5000 0.5000 0.2644
Ir2 0.5000 0.5000 0.7356


# LiAl3Cu

LiAl3Cu after structural relaxation (PBE, the Alexandria database).

Summary:
* energy above the lowest structure with this stoichiometry: 0.0 meV per atom
* raw total energy: -3.543 eV/atom
* spin magnetization: 0.000 Bohr magnetons per cell
* energy of formation: -0.10 eV/atom

Lattice parameters (Å, degrees): 6.6794 7.0842 8.2378 90.00 127.60 90.00
Fractional coordinates of all 20 atoms:
Li1 0.1751 0.0849 0.4468
Li2 0.1751 0.4151 0.9468
Li3 0.8249 0.5849 0.0532
Li4 0.8249 0.9151 0.5532
Al1 0.1027 0.6826 0.4894
Al2 0.1027 0.8174 0.9894
Al3 0.2656 0.0754 0.8442
Al4 0.2656 0.4246 0.3442
Al5 0.4194 0.1087 0.2569
Al6 0.4194 0.3913 0.7569
Al7 0.5806 0.6087 0.2431
Al8 0.5806 0.8913 0.7431
Al9 0.7344 0.5754 0.6558
Al10 0.7344 0.9246 0.1558
Al11 0.8973 0.1826 0.0106
Al12 0.8973 0.3174 0.5106
Cu1 0.3593 0.7237 0.8681
Cu2 0.3593 0.7763 0.3681
Cu3 0.6407 0.2237 0.6319
Cu4 0.6407 0.2763 0.1319


# SmHg2As2Pd7

SmHg2As2Pd7 after structural relaxation (PBE, the Alexandria database).

Summary:
* raw total energy: -4.641 eV/atom
* spin magnetization: 0.000 Bohr magnetons per cell
* energy of formation: -0.39 eV/atom

Lattice parameters (Å, degrees): 4.0333 4.0333 14.7071 95.49 95.49 89.85
Fractional coordinates of all 12 atoms:
Sm1 0.0000 0.0000 0.0000
Hg1 0.1210 0.1210 0.4053
Hg2 0.8790 0.8790 0.5947
As1 0.4128 0.4128 0.7486
As2 0.5872 0.5872 0.2514
Pd1 0.0527 0.5528 0.1522
Pd2 0.3766 0.3766 0.5828
Pd3 0.4472 0.9473 0.8478
Pd4 0.5000 0.5000 0.0000
Pd5 0.5528 0.0527 0.1522
Pd6 0.6234 0.6234 0.4172
Pd7 0.9473 0.4472 0.8478